Computed, not measured: a relaxed YAsNO2 crystal at the PBE level of DFT.

```
YAsNO2
1.0
-1.2837 -1.8393 3.6749
-3.3285 -1.7926 -2.0599
2.5424 -3.6450 -0.9362
Y O As N
1 2 1 1
Direct
0.0000 0.0000 0.0000 Y
0.0000 0.5000 0.0000 O
0.5000 0.0000 0.0000 O
0.5000 0.5000 0.5000 As
0.0000 0.0000 0.5000 N
```

Calculated values
For the volume, the calculation gives 16.84 A^3/atom. The formation energy from raw total energies is -155.1 meV per atom. The total magnetization comes out at 1.03 μB/f.u. As for the density of states at the Fermi level: 3.069 states/eV/f.u.